# 1
SmInNi5: relaxed, GGA-PBE.

Output
**Calculated formation energy**: -305.8 meV/atom
**Electronic total energy**: -154.02 eV/cell
**Crystal system**: orthorhombic

The structure in CIF format:
```
data_SmInNi5
_chemical_formula_sum 'Sm4 In4 Ni20'
_cell_length_a 8.143
_cell_length_b 4.881
_cell_length_c 10.358
_cell_angle_alpha 90.00
_cell_angle_beta 90.00
_cell_angle_gamma 90.00
_symmetry_space_group_name_H-M 'P n m a'
_symmetry_Int_Tables_number 62
_symmetry_space_group_name_Hall '-P 2ac 2n'
loop_
_atom_site_label
_atom_site_type_symbol
_atom_site_fract_x
_atom_site_fract_y
_atom_site_fract_z
Sm1 Sm 0.250 0.250 0.060
In1 In 0.138 0.250 0.363
Ni1 Ni 0.048 0.250 0.607
Ni2 Ni 0.067 0.000 0.811
Ni3 Ni 0.083 0.750 0.017
Ni4 Ni 0.188 0.750 0.242
```



# 2
PrNd12Er7: relaxed, GGA-PBE.

Output
**Calculated formation energy**: 675.6 meV/atom
**Electronic total energy**: -160.84 eV/cell
**Crystal system**: cubic
**Energy relative to the lowest polymorph listed for this composition**: 525 meV/atom

The structure in CIF format:
```
data_PrNd12Er7
_chemical_formula_sum 'Pr2 Nd24 Er14'
_cell_length_a 11.576
_cell_length_b 11.576
_cell_length_c 11.576
_cell_angle_alpha 90.00
_cell_angle_beta 90.00
_cell_angle_gamma 90.00
_symmetry_space_group_name_H-M 'I m -3'
_symmetry_Int_Tables_number 204
_symmetry_space_group_name_Hall '-I 2 2 3'
loop_
_atom_site_label
_atom_site_type_symbol
_atom_site_fract_x
_atom_site_fract_y
_atom_site_fract_z
Pr1 Pr 0.000 0.000 0.000
Nd1 Nd 0.000 0.276 0.238
Er1 Er 0.000 0.000 0.500
Er2 Er 0.250 0.250 0.250
```



# 3
TlAgOs2: relaxed, GGA-PBE.

Output
**Calculated formation energy**: 1274.5 meV/atom
**Electronic total energy**: -22.58 eV/cell
**Crystal system**: tetragonal
**Energy relative to the lowest polymorph listed for this composition**: 761 meV/atom

The structure in CIF format:
```
data_TlAgOs2
_chemical_formula_sum 'Tl1 Ag1 Os2'
_cell_length_a 3.307
_cell_length_b 3.307
_cell_length_c 6.233
_cell_angle_alpha 90.00
_cell_angle_beta 90.00
_cell_angle_gamma 90.00
_symmetry_space_group_name_H-M 'P 4/m m m'
_symmetry_Int_Tables_number 123
_symmetry_space_group_name_Hall '-P 4 2'
loop_
_atom_site_label
_atom_site_type_symbol
_atom_site_fract_x
_atom_site_fract_y
_atom_site_fract_z
Tl1 Tl 0.000 0.000 0.000
Ag1 Ag 0.000 0.000 0.500
Os1 Os 0.500 0.500 0.267
```



# 4
Sc2NbRh: relaxed, GGA-PBE.

Output
**Calculated formation energy**: -201.9 meV/atom
**Electronic total energy**: -123.57 eV/cell
**Crystal system**: cubic
**Energy relative to the lowest polymorph listed for this composition**: 200 meV/atom

The structure in CIF format:
```
data_Sc2NbRh
_chemical_formula_sum 'Sc8 Nb4 Rh4'
_cell_length_a 6.705
_cell_length_b 6.705
_cell_length_c 6.705
_cell_angle_alpha 90.00
_cell_angle_beta 90.00
_cell_angle_gamma 90.00
_symmetry_space_group_name_H-M 'F m -3 m'
_symmetry_Int_Tables_number 225
_symmetry_space_group_name_Hall '-F 4 2 3'
loop_
_atom_site_label
_atom_site_type_symbol
_atom_site_fract_x
_atom_site_fract_y
_atom_site_fract_z
Sc1 Sc 0.250 0.250 0.250
Nb1 Nb 0.000 0.000 0.000
Rh1 Rh 0.000 0.000 0.500
```